1.
## YZn4Ag (PBE)

Data for a relaxed structure of YZn4Ag.

Properties
Its density is 7.2 g cm⁻³.

Unit cell a=5.3159 b=5.3159 c=5.3159 alpha=60.00 beta=60.00 gamma=60.00
Closest atoms and distances in Å follow each position.
Fractional positions:
Y1 0.0000 0.0000 0.0000  12 Zn 3.12, 4 Ag 3.26
Zn1 0.3748 0.3748 0.3748  6 Zn 2.65-2.66
Zn2 0.3748 0.3748 0.8756  6 Zn 2.65-2.66
Zn3 0.3748 0.8756 0.3748  6 Zn 2.65-2.66
Zn4 0.8756 0.3748 0.3748  6 Zn 2.65-2.66
Ag1 0.7500 0.7500 0.7500  12 Zn 3.12, 4 Y 3.26

---

2.
## YZn10Ag2 (PBE)

Data for a relaxed structure of YZn10Ag2.

Properties
Its density is 7.4 g cm⁻³.

Unit cell a=8.9252 b=6.9558 c=6.7850 alpha=81.00 beta=50.33 gamma=48.66
Closest atoms and distances in Å follow each position.
Fractional positions:
Y1 0.0000 0.0000 0.0000  16 Zn 3.16-3.39, 4 Ag 3.48
Zn1 0.0000 0.0000 0.5000  10 Zn 2.59-2.75
Zn2 0.0067 0.6457 0.3543  4 Zn 2.61-2.77, 2 Ag 2.80
Zn3 0.2870 0.5045 0.4955  5 Zn 2.59-2.77, 2 Ag 2.68
Zn4 0.3543 0.9933 0.0067  4 Zn 2.61-2.77, 2 Ag 2.80
Zn5 0.4955 0.7130 0.2870  5 Zn 2.59-2.77, 2 Ag 2.68
Zn6 0.5000 0.5000 0.0000  10 Zn 2.59-2.75
Zn7 0.5045 0.2870 0.7130  5 Zn 2.59-2.77, 2 Ag 2.68
Zn8 0.6457 0.0067 0.9933  4 Zn 2.61-2.77, 2 Ag 2.80
Zn9 0.7130 0.4955 0.5045  5 Zn 2.59-2.77, 2 Ag 2.68
Zn10 0.9933 0.3543 0.6457  4 Zn 2.61-2.77, 2 Ag 2.80
Ag1 0.0000 0.5000 0.0000  8 Zn 2.68-2.80, 2 Ag 2.72
Ag2 0.5000 0.0000 0.5000  8 Zn 2.68-2.80, 2 Ag 2.72

---

3.
## YZnAg2 (PBE)

Data for a relaxed structure of YZnAg2.

Properties
Its density is 7.6 g cm⁻³.

Unit cell a=5.7039 b=5.7039 c=5.2548 alpha=101.76 beta=101.76 gamma=94.99
Closest atoms and distances in Å follow each position.
Fractional positions:
Y1 0.2250 0.7750 0.7500  8 Ag 3.01-3.27, 3 Zn 3.05-3.06
Y2 0.7750 0.2250 0.2500  8 Ag 3.01-3.27, 3 Zn 3.05-3.06
Zn1 0.4127 0.5873 0.2500  2 Ag 2.64
Zn2 0.5873 0.4127 0.7500  2 Ag 2.64
Ag1 0.0996 0.2847 0.8555  1 Zn 2.64, 1 Ag 2.83
Ag2 0.2847 0.0996 0.3555  1 Zn 2.64, 1 Ag 2.83
Ag3 0.7153 0.9004 0.6445  1 Zn 2.64, 1 Ag 2.83
Ag4 0.9004 0.7153 0.1445  1 Zn 2.64, 1 Ag 2.83

---

4.
## YZn2Ag2 (PBE)

Data for a relaxed structure of YZn2Ag2.

Properties
Its density is 7.6 g cm⁻³.

Unit cell a=7.9620 b=7.9620 c=2.9936 alpha=90.00 beta=90.00 gamma=90.00
Closest atoms and distances in Å follow each position.
Fractional positions:
Y1 0.0000 0.0000 0.0000  2 Y 2.99, 4 Ag 3.13, 8 Zn 3.32
Y2 0.5000 0.5000 0.0000  2 Y 2.99, 4 Ag 3.13, 8 Zn 3.32
Zn1 0.1686 0.3314 0.5000  6 Ag 2.73-2.82, 2 Zn 2.99
Zn2 0.3314 0.8314 0.5000  6 Ag 2.73-2.82, 2 Zn 2.99
Zn3 0.6686 0.1686 0.5000  6 Ag 2.73-2.82, 2 Zn 2.99
Zn4 0.8314 0.6686 0.5000  6 Ag 2.73-2.82, 2 Zn 2.99
Ag1 0.1283 0.6283 0.0000  6 Zn 2.73-2.82, 3 Ag 2.89-2.99
Ag2 0.3717 0.1283 0.0000  6 Zn 2.73-2.82, 3 Ag 2.89-2.99
Ag3 0.6283 0.8717 0.0000  6 Zn 2.73-2.82, 3 Ag 2.89-2.99
Ag4 0.8717 0.3717 0.0000  6 Zn 2.73-2.82, 3 Ag 2.89-2.99

---

no.,DFT formation energy (meV/atom),E_tot (eV per atom),density of states at the Fermi level (states/eV/f.u.)
1,-192,-2.594,3.23
2,-140,-2.056,4.21
3,-214,-3.574,1.79
4,-93,-3.036,3.16